# PBE-GGA Sm3RuCl2, relaxed
# * energy relative to the elements, uncorrected: -1061 meV per atom
data_Sm3RuCl2
_chemical_formula_sum 'Sm6 Ru2 Cl4'
_cell_length_a 3.919
_cell_length_b 5.696
_cell_length_c 14.283
_cell_angle_alpha 90.00
_cell_angle_beta 90.00
_cell_angle_gamma 90.00
_symmetry_space_group_name_H-M 'I m m m'
_symmetry_Int_Tables_number 71
_symmetry_space_group_name_Hall '-I 2 2'
loop_
_atom_site_label
_atom_site_type_symbol
_atom_site_fract_x
_atom_site_fract_y
_atom_site_fract_z
Sm1 Sm 0.000 0.000 0.000
Sm2 Sm 0.000 0.000 0.367
Ru1 Ru 0.000 0.500 0.000
Cl1 Cl 0.000 0.500 0.314

# PBE-GGA TiVW3, relaxed
# * ΔE_f: 0.1291 eV per atom
data_TiVW3
_chemical_formula_sum 'Ti4 V4 W12'
_cell_length_a 6.990
_cell_length_b 5.258
_cell_length_c 9.180
_cell_angle_alpha 90.00
_cell_angle_beta 109.78
_cell_angle_gamma 90.00
_symmetry_space_group_name_H-M 'P 1 21/c 1'
_symmetry_Int_Tables_number 14
loop_
_symmetry_equiv_pos_as_xyz
'x,y,z'
'-x,-y,-z'
'-x,y+1/2,-z+1/2'
'x,-y+1/2,z+1/2'
loop_
_atom_site_label
_atom_site_type_symbol
_atom_site_fract_x
_atom_site_fract_y
_atom_site_fract_z
Ti1 Ti 0.173 0.131 0.072
V1 V 0.221 0.627 0.027
W1 W 0.024 0.631 0.223
W2 W 0.382 0.138 0.870
W3 W 0.419 0.634 0.831

# PBE-GGA Er3TmAl2, relaxed
# * ΔE_f: -0.2989 eV per atom
data_Er3TmAl2
_chemical_formula_sum 'Er6 Tm2 Al4'
_cell_length_a 5.048
_cell_length_b 9.354
_cell_length_c 6.490
_cell_angle_alpha 90.00
_cell_angle_beta 90.00
_cell_angle_gamma 90.00
_symmetry_space_group_name_H-M 'P m c 21'
_symmetry_Int_Tables_number 26
loop_
_symmetry_equiv_pos_as_xyz
'x,y,z'
'-x,-y,z+1/2'
'-x,y,z'
'x,-y,z+1/2'
loop_
_atom_site_label
_atom_site_type_symbol
_atom_site_fract_x
_atom_site_fract_y
_atom_site_fract_z
Er1 Er 0.000 0.039 0.000
Er2 Er 0.000 0.323 0.341
Er3 Er 0.500 0.179 0.714
Tm1 Tm 0.500 0.460 0.056
Al1 Al 0.000 0.353 0.821
Al2 Al 0.500 0.147 0.235